[1]
Density functional theory data (GGA-PBE) for a relaxed structure of Np2CdS4.

```
data_Np2CdS4
_chemical_formula_sum 'Np4 Cd2 S8'
_symmetry_space_group_name_H-M 'C 1 2/m 1'
_symmetry_Int_Tables_number 12
_cell_length_a 14.376
_cell_length_b 3.991
_cell_length_c 6.946
_cell_angle_alpha 90.00
_cell_angle_beta 118.63
_cell_angle_gamma 90.00
loop_
_symmetry_equiv_pos_as_xyz
'x,y,z'
'-x,-y,-z'
'-x,y,-z'
'x,-y,z'
'x+1/2,y+1/2,z'
'-x+1/2,-y+1/2,-z'
'-x+1/2,y+1/2,-z'
'x+1/2,-y+1/2,z'
loop_
_atom_site_label
_atom_site_type_symbol
_atom_site_fract_x
_atom_site_fract_y
_atom_site_fract_z
Np1 Np 0.233 0.000 0.237
Cd1 Cd 0.000 0.500 0.500
S1 S 0.129 0.500 0.318
S2 S 0.138 0.000 0.787
```

Properties
- Crystal system: monoclinic
- DFT total energy: -50.9 eV per formula unit


[2]
Density functional theory data (GGA-PBE) for a relaxed structure of PmPaN.

```
data_PmPaN
_chemical_formula_sum 'Pm4 Pa4 N4'
_symmetry_space_group_name_H-M 'C m c m'
_symmetry_Int_Tables_number 63
_symmetry_space_group_name_Hall '-C 2c 2'
_cell_length_a 3.118
_cell_length_b 15.020
_cell_length_c 4.991
_cell_angle_alpha 90.00
_cell_angle_beta 90.00
_cell_angle_gamma 90.00
loop_
_atom_site_label
_atom_site_type_symbol
_atom_site_fract_x
_atom_site_fract_y
_atom_site_fract_z
Pm1 Pm 0.000 0.061 0.250
Pa1 Pa 0.000 0.192 0.750
N1 N 0.000 0.424 0.250
```

Properties
- ΔE to the lowest computed polymorph: 364 meV/atom
- Crystal system: orthorhombic


[3]
Density functional theory data (GGA-PBE) for a relaxed structure of NaTb5Tl8.

```
data_NaTb5Tl8
_chemical_formula_sum 'Na2 Tb10 Tl16'
_symmetry_space_group_name_H-M 'I -4'
_symmetry_Int_Tables_number 82
_cell_length_a 9.336
_cell_length_b 9.336
_cell_length_c 9.202
_cell_angle_alpha 90.00
_cell_angle_beta 90.00
_cell_angle_gamma 90.00
loop_
_symmetry_equiv_pos_as_xyz
'x,y,z'
'y,-x,-z'
'-x,-y,z'
'-y,x,-z'
'x+1/2,y+1/2,z+1/2'
'y+1/2,-x+1/2,-z+1/2'
'-x+1/2,-y+1/2,z+1/2'
'-y+1/2,x+1/2,-z+1/2'
loop_
_atom_site_label
_atom_site_type_symbol
_atom_site_fract_x
_atom_site_fract_y
_atom_site_fract_z
Na1 Na 0.000 0.000 0.000
Tb1 Tb 0.000 0.500 0.250
Tb2 Tb 0.120 0.776 0.611
Tl1 Tl 0.068 0.666 0.944
Tl2 Tl 0.097 0.824 0.273
```

Properties
- Crystal system: tetragonal
- Energy of formation from the pure elements: -0.212 eV/atom


[4]
Density functional theory data (GGA-PBE) for a relaxed structure of Dy2ErCd.

```
data_Dy2ErCd
_chemical_formula_sum 'Dy6 Er3 Cd3'
_symmetry_space_group_name_H-M 'R -3 m'
_symmetry_Int_Tables_number 166
_symmetry_space_group_name_Hall '-R 3 2"'
_cell_length_a 3.4520
_cell_length_b 3.4520
_cell_length_c 36.1372
_cell_angle_alpha 90.00
_cell_angle_beta 90.00
_cell_angle_gamma 120.00
loop_
_atom_site_label
_atom_site_type_symbol
_atom_site_fract_x
_atom_site_fract_y
_atom_site_fract_z
Dy1 Dy 0.0000 0.0000 0.0890
Er1 Er 0.0000 0.0000 0.5000
Cd1 Cd 0.0000 0.0000 0.0000
```

Properties
- ΔE to the lowest computed polymorph: 298 meV/atom
- Crystal system: trigonal
- Energy of formation from the pure elements: 0.157 eV/atom


[5]
Density functional theory data (GGA-PBE) for a relaxed structure of TaAlCd2Te.

```
data_TaAlCd2Te
_chemical_formula_sum 'Ta1 Al1 Cd2 Te1'
_symmetry_space_group_name_H-M 'P 4/m m m'
_symmetry_Int_Tables_number 123
_symmetry_space_group_name_Hall '-P 4 2'
_cell_length_a 5.019
_cell_length_b 5.019
_cell_length_c 5.141
_cell_angle_alpha 90.00
_cell_angle_beta 90.00
_cell_angle_gamma 90.00
loop_
_atom_site_label
_atom_site_type_symbol
_atom_site_fract_x
_atom_site_fract_y
_atom_site_fract_z
Ta1 Ta 0.000 0.000 0.000
Al1 Al 0.000 0.000 0.500
Cd1 Cd 0.000 0.500 0.500
Te1 Te 0.500 0.500 0.000
```

Properties
- Crystal system: tetragonal
- DFT total energy: -16.5 eV per formula unit


[6]
Density functional theory data (GGA-PBE) for a relaxed structure of Ga2SiOs.

```
data_Ga2SiOs
_chemical_formula_sum 'Ga8 Si4 Os4'
_symmetry_space_group_name_H-M 'I 41/a m d'
_symmetry_Int_Tables_number 141
_cell_length_a 9.457
_cell_length_b 9.457
_cell_length_c 4.560
_cell_angle_alpha 90.00
_cell_angle_beta 90.00
_cell_angle_gamma 90.00
loop_
_symmetry_equiv_pos_as_xyz
'x,y,z'
'-x,-y,-z'
'-y+1/4,x+3/4,z+1/4'
'y+1/4,-x+3/4,-z+1/4'
'-x+1/2,-y,z+1/2'
'x+1/2,y,-z+1/2'
'y+1/4,-x+1/4,z+3/4'
'-y+1/4,x+1/4,-z+3/4'
'x,-y,-z'
'-x,y,z'
'-y+1/4,-x+1/4,-z+3/4'
'y+1/4,x+1/4,z+3/4'
'-x+1/2,y,-z+1/2'
'x+1/2,-y,z+1/2'
'y+1/4,x+3/4,-z+1/4'
'-y+1/4,-x+3/4,z+1/4'
'x+1/2,y+1/2,z+1/2'
'-x+1/2,-y+1/2,-z+1/2'
'-y+3/4,x+1/4,z+3/4'
'y+3/4,-x+1/4,-z+3/4'
'-x,-y+1/2,z'
'x,y+1/2,-z'
'y+3/4,-x+3/4,z+1/4'
'-y+3/4,x+3/4,-z+1/4'
'x+1/2,-y+1/2,-z+1/2'
'-x+1/2,y+1/2,z+1/2'
'-y+3/4,-x+3/4,-z+1/4'
'y+3/4,x+3/4,z+1/4'
'-x,y+1/2,-z'
'x,-y+1/2,z'
'y+3/4,x+1/4,-z+3/4'
'-y+3/4,-x+1/4,z+3/4'
loop_
_atom_site_label
_atom_site_type_symbol
_atom_site_fract_x
_atom_site_fract_y
_atom_site_fract_z
Ga1 Ga 0.000 0.000 0.000
Si1 Si 0.000 0.250 0.375
Os1 Os 0.000 0.250 0.875
```

Properties
- Crystal system: tetragonal
- DFT total energy: -22.8 eV per formula unit


[7]
Density functional theory data (GGA-PBE) for a relaxed structure of CeTmBi2.

```
data_CeTmBi2
_chemical_formula_sum 'Ce3 Tm3 Bi6'
_symmetry_space_group_name_H-M 'R -3 m'
_symmetry_Int_Tables_number 166
_symmetry_space_group_name_Hall '-R 3 2"'
_cell_length_a 4.5239
_cell_length_b 4.5239
_cell_length_c 22.0814
_cell_angle_alpha 90.00
_cell_angle_beta 90.00
_cell_angle_gamma 120.00
loop_
_atom_site_label
_atom_site_type_symbol
_atom_site_fract_x
_atom_site_fract_y
_atom_site_fract_z
Ce1 Ce 0.0000 0.0000 0.0000
Tm1 Tm 0.0000 0.0000 0.5000
Bi1 Bi 0.0000 0.0000 0.2466
```

Properties
- ΔE to the lowest computed polymorph: 0 meV/atom
- Crystal system: trigonal
- Energy of formation from the pure elements: -0.787 eV/atom


[8]
Density functional theory data (GGA-PBE) for a relaxed structure of AsWBr2.

```
data_AsWBr2
_chemical_formula_sum 'As2 W2 Br4'
_symmetry_space_group_name_H-M 'I -4 m 2'
_symmetry_Int_Tables_number 119
_symmetry_space_group_name_Hall 'I -4 -2'
_cell_length_a 4.598
_cell_length_b 4.598
_cell_length_c 7.308
_cell_angle_alpha 90.00
_cell_angle_beta 90.00
_cell_angle_gamma 90.00
loop_
_atom_site_label
_atom_site_type_symbol
_atom_site_fract_x
_atom_site_fract_y
_atom_site_fract_z
As1 As 0.000 0.000 0.000
W1 W 0.000 0.500 0.250
Br1 Br 0.000 0.000 0.500
Br2 Br 0.000 0.500 0.750
```

Properties
- ΔE to the lowest computed polymorph: 1064 meV/atom
- Crystal system: tetragonal


[9]
Density functional theory data (GGA-PBE) for a relaxed structure of LiZn2N2.

```
data_LiZn2N2
_chemical_formula_sum 'Li2 Zn4 N4'
_symmetry_space_group_name_H-M 'P 4/m b m'
_symmetry_Int_Tables_number 127
_symmetry_space_group_name_Hall '-P 4 2ab'
_cell_length_a 6.271
_cell_length_b 6.271
_cell_length_c 2.629
_cell_angle_alpha 90.00
_cell_angle_beta 90.00
_cell_angle_gamma 90.00
loop_
_atom_site_label
_atom_site_type_symbol
_atom_site_fract_x
_atom_site_fract_y
_atom_site_fract_z
Li1 Li 0.000 0.000 0.000
Zn1 Zn 0.139 0.361 0.000
N1 N 0.170 0.670 0.500
```

Properties
- ΔE to the lowest computed polymorph: 149 meV/atom
- Crystal system: tetragonal


[10]
Density functional theory data (GGA-PBE) for a relaxed structure of BaLi3Sb.

```
data_BaLi3Sb
_chemical_formula_sum 'Ba1 Li3 Sb1'
_symmetry_space_group_name_H-M 'P m -3 m'
_symmetry_Int_Tables_number 221
_symmetry_space_group_name_Hall '-P 4 2 3'
_cell_length_a 5.426
_cell_length_b 5.426
_cell_length_c 5.426
_cell_angle_alpha 90.00
_cell_angle_beta 90.00
_cell_angle_gamma 90.00
loop_
_atom_site_label
_atom_site_type_symbol
_atom_site_fract_x
_atom_site_fract_y
_atom_site_fract_z
Ba1 Ba 0.000 0.000 0.000
Li1 Li 0.000 0.000 0.500
Sb1 Sb 0.500 0.500 0.500
```

Properties
- ΔE to the lowest computed polymorph: 1168 meV/atom
- Crystal system: cubic


[11]
Density functional theory data (GGA-PBE) for a relaxed structure of DyTmSi2.

```
data_DyTmSi2
_chemical_formula_sum 'Dy2 Tm2 Si4'
_symmetry_space_group_name_H-M 'A m m 2'
_symmetry_Int_Tables_number 38
_cell_length_a 3.813
_cell_length_b 4.245
_cell_length_c 10.459
_cell_angle_alpha 90.00
_cell_angle_beta 90.00
_cell_angle_gamma 90.00
loop_
_symmetry_equiv_pos_as_xyz
'x,y,z'
'-x,-y,z'
'-x,y,z'
'x,-y,z'
'x,y+1/2,z+1/2'
'-x,-y+1/2,z+1/2'
'-x,y+1/2,z+1/2'
'x,-y+1/2,z+1/2'
loop_
_atom_site_label
_atom_site_type_symbol
_atom_site_fract_x
_atom_site_fract_y
_atom_site_fract_z
Dy1 Dy 0.000 0.000 0.000
Tm1 Tm 0.500 0.000 0.720
Si1 Si 0.000 0.000 0.282
Si2 Si 0.500 0.000 0.436
```

Properties
- Crystal system: orthorhombic
- DFT total energy: -23.2 eV per formula unit


[12]
Density functional theory data (GGA-PBE) for a relaxed structure of NaTbGdSn.

```
data_NaTbGdSn
_chemical_formula_sum 'Na4 Tb4 Gd4 Sn4'
_symmetry_space_group_name_H-M 'F -4 3 m'
_symmetry_Int_Tables_number 216
_symmetry_space_group_name_Hall 'F -4 2 3'
_cell_length_a 7.603
_cell_length_b 7.603
_cell_length_c 7.603
_cell_angle_alpha 90.00
_cell_angle_beta 90.00
_cell_angle_gamma 90.00
loop_
_atom_site_label
_atom_site_type_symbol
_atom_site_fract_x
_atom_site_fract_y
_atom_site_fract_z
Na1 Na 0.000 0.000 0.000
Tb1 Tb 0.250 0.250 0.250
Gd1 Gd 0.250 0.250 0.750
Sn1 Sn 0.000 0.000 0.500
```

Properties
- Crystal system: cubic
- Energy of formation from the pure elements: -0.285 eV/atom


Number 1: magnetic moment 16.01 Bohr magnetons per cell, DOS at the Fermi energy 36.3 states/eV per cell. Number 2: magnetic moment 0.00 Bohr magnetons per cell, DOS at the Fermi energy 16.0 states/eV per cell. Number 3: magnetic moment 0.00 Bohr magnetons per cell, DOS at the Fermi energy 19.2 states/eV per cell. Number 4: magnetic moment 0.00 Bohr magnetons per cell, DOS at the Fermi energy 9.3 states/eV per cell. Number 5: magnetic moment 1.66 Bohr magnetons per cell, DOS at the Fermi energy 3.2 states/eV per cell. Number 6: magnetic moment 0.00 Bohr magnetons per cell, DOS at the Fermi energy 0.0 states/eV per cell. Number 7: magnetic moment 2.61 Bohr magnetons per cell, DOS at the Fermi energy 20.7 states/eV per cell. Number 8: magnetic moment 1.20 Bohr magnetons per cell, DOS at the Fermi energy 5.0 states/eV per cell. Number 9: magnetic moment 0.00 Bohr magnetons per cell, DOS at the Fermi energy 5.2 states/eV per cell. Number 10: magnetic moment 1.89 Bohr magnetons per cell, DOS at the Fermi energy 4.0 states/eV per cell. Number 11: magnetic moment 0.00 Bohr magnetons per cell, DOS at the Fermi energy 5.2 states/eV per cell. Number 12: magnetic moment 31.68 Bohr magnetons per cell, DOS at the Fermi energy 20.6 states/eV per cell.